[1]
## Ni2AgP (PBE)

Data for a relaxed Ni2AgP crystal.

Cell lengths 7.772, 3.079, 4.871 Å; angles 90.00, 94.93, 90.00 degrees
Space group Cm (No. 8)
One atom of each set of equivalent atoms:
Ni 0.000 0.000 0.000 (multiplicity 2)
Ni 0.222 0.500 0.234 (multiplicity 2)
Ag 0.457 0.000 0.525 (multiplicity 2)
P 0.287 0.000 0.950 (multiplicity 2)

Summary:
Theoretical density (g/cm3): 7.3
V (Å³/cell): 116
N(E_F) (states/eV per atom): 0.5642
Formation enthalpy at 0 K (eV/atom): -0.034

=====

[2]
## Ni3AgP (PBE)

Data for a relaxed Ni3AgP crystal.

Cell lengths 4.167, 4.167, 4.167 Å; angles 90.00, 90.00, 90.00 degrees
Space group Pm-3m (No. 221)
One atom of each set of equivalent atoms:
Ni 0.000 0.000 0.500 (multiplicity 3)
Ag 0.500 0.500 0.500 (multiplicity 1)
P 0.000 0.000 0.000 (multiplicity 1)

Summary:
Theoretical density (g/cm3): 7.2
V (Å³/cell): 72
N(E_F) (states/eV per atom): 1.0773
Formation enthalpy at 0 K (eV/atom): 0.051

=====

[3]
## Ni2AgP (PBE)

Data for a relaxed Ni2AgP crystal.

Cell lengths 2.864, 4.014, 5.015 Å; angles 90.00, 106.46, 90.00 degrees
Space group Pm (No. 6)
One atom of each set of equivalent atoms:
Ni 0.000 0.000 0.000 (multiplicity 1)
Ni 0.402 0.500 0.804 (multiplicity 1)
Ag 0.738 0.000 0.478 (multiplicity 1)
P 0.079 0.500 0.161 (multiplicity 1)

Summary:
Theoretical density (g/cm3): 7.7
V (Å³/cell): 55
N(E_F) (states/eV per atom): 0.5323
Formation enthalpy at 0 K (eV/atom): -0.002

=====

[4]
## NiAg3P (PBE)

Data for a relaxed NiAg3P crystal.

Cell lengths 4.733, 4.733, 4.733 Å; angles 90.00, 90.00, 90.00 degrees
Space group Pm-3m (No. 221)
One atom of each set of equivalent atoms:
Ni 0.000 0.000 0.000 (multiplicity 1)
Ag 0.000 0.000 0.500 (multiplicity 3)
P 0.500 0.500 0.500 (multiplicity 1)

Summary:
Theoretical density (g/cm3): 6.5
V (Å³/cell): 106
N(E_F) (states/eV per atom): 1.3780
Formation enthalpy at 0 K (eV/atom): 1.053

=====

> Among the records above, which one has the lowest formation enthalpy at 0 K?

number 1

=====

> Among the records above, which one has the lowest formation enthalpy at 0 K?

number 1

=====

> formation enthalpy at 0 K of number 2 (Ni3AgP)?

0.051 eV/atom

=====

> What is the formula in the third record?

Ni2AgP